Here is BaSb2TeCl at its PBEsol-relaxed geometry from the Alexandria database. Energies are from meta-GGA SCAN.

Geometry as CIF:
```
data_BaSb2TeCl
_cell_length_a 6.2450
_cell_length_b 6.2450
_cell_length_c 6.1427
_cell_angle_alpha 90.00
_cell_angle_beta 90.00
_cell_angle_gamma 90.00
_space_group_name_H-M_alt 'P 4/m m m'
_space_group_IT_number 123
_space_group_name_Hall '-P 4 2'
loop_
_atom_site_label
_atom_site_fract_x
_atom_site_fract_y
_atom_site_fract_z
Ba1 0.0000 0.0000 0.0000
Sb1 0.0000 0.5000 0.0000
Te1 0.0000 0.0000 0.5000
Cl1 0.5000 0.5000 0.5000
```

The uncorrected formation energy is 795.7 meV per atom. As for the total DFT energy (no corrections): -155.32 eV/cell.